# 1
A relaxed structure of SmDy3Y3, computed with PBE.

Lattice parameters (Å, degrees): 14.6882 14.6882 14.6882 24.35 24.35 24.35
Fractional coordinates of all 14 atoms:
Sm 0.1667 0.1667 0.1667
Sm 0.8333 0.8333 0.8333
Dy 0.0351 0.6984 0.3666
Dy 0.3016 0.6334 0.9649
Dy 0.3666 0.0351 0.6984
Dy 0.6334 0.9649 0.3016
Dy 0.6984 0.3666 0.0351
Dy 0.9649 0.3016 0.6334
Y 0.0990 0.4329 0.7663
Y 0.2337 0.9010 0.5671
Y 0.4329 0.7663 0.0990
Y 0.5671 0.2337 0.9010
Y 0.7663 0.0990 0.4329
Y 0.9010 0.5671 0.2337

Output
Space-group type   R-3
Raw total energy   -5.275 eV per atom
D(E_F)   1.5355 states/eV/atom
Energy relative to the lowest polymorph listed for this composition   132 meV/atom
Calculated formation energy   0.142 eV per atom


# 2
A relaxed structure of PaCu2Ge, computed with PBE.

Lattice parameters (Å, degrees): 5.2240 5.2240 5.2240 46.82 46.82 46.82
Fractional coordinates of all 4 atoms:
Pa 0.0000 0.0000 0.0000
Cu 0.2188 0.2188 0.2188
Cu 0.7812 0.7812 0.7812
Ge 0.5000 0.5000 0.5000

Output
Space-group type   R-3m
Raw total energy   -5.723 eV per atom
D(E_F)   1.0920 states/eV/atom
Energy relative to the lowest polymorph listed for this composition   50 meV/atom
Calculated formation energy   -0.146 eV per atom


# 3
A relaxed structure of Cs2Ba2BiO6, computed with PBE.

Lattice parameters (Å, degrees): 6.6328 6.6328 7.3429 97.99 97.99 118.85
Fractional coordinates of all 11 atoms:
Cs 0.1640 0.8360 0.0000
Cs 0.8360 0.1640 0.0000
Ba 0.3388 0.6612 0.5000
Ba 0.6612 0.3388 0.5000
Bi 0.0000 0.0000 0.5000
O 0.0438 0.3244 0.6665
O 0.2125 0.2125 0.3246
O 0.3244 0.0438 0.6665
O 0.6756 0.9562 0.3335
O 0.7875 0.7875 0.6754
O 0.9562 0.6756 0.3335

Output
Space-group type   C2/m
Raw total energy   -5.137 eV per atom
D(E_F)   0.8527 states/eV/atom
Raw formation energy   -1671.3 kJ/mol of formula units


# 4
A relaxed structure of SrCoW, computed with PBE.

Lattice parameters (Å, degrees): 3.9820 3.9820 5.1368 90.00 90.00 120.00
Fractional coordinates of all 3 atoms:
Sr 0.0000 0.0000 0.0000
Co 0.3333 0.6667 0.5000
W 0.6667 0.3333 0.5000

Output
Space-group type   P-6m2
Raw total energy   -6.565 eV per atom
D(E_F)   0.8086 states/eV/atom
Energy relative to the lowest polymorph listed for this composition   388 meV/atom
Calculated formation energy   0.681 eV per atom


# 5
A relaxed structure of Tm2PuPaAs4, computed with PBE.

Lattice parameters (Å, degrees): 7.0656 4.0987 7.0803 90.00 109.54 90.00
Fractional coordinates of all 8 atoms:
Tm 0.0000 0.0000 0.0000
Tm 0.0000 0.5000 0.5000
Pu 0.5000 0.0000 0.5000
Pa 0.5000 0.5000 0.0000
As 0.2472 0.0000 0.7517
As 0.2478 0.5000 0.2465
As 0.7522 0.5000 0.7535
As 0.7528 0.0000 0.2483

Output
Space-group type   P2/m
Raw total energy   -7.703 eV per atom
D(E_F)   1.4952 states/eV/atom
Calculated formation energy   -1.281 eV per atom


# 6
A relaxed structure of AcCoH3, computed with PBE.

Lattice parameters (Å, degrees): 3.7650 3.7650 3.7650 90.00 90.00 90.00
Fractional coordinates of all 5 atoms:
Ac 0.0000 0.0000 0.0000
Co 0.5000 0.5000 0.5000
H 0.0000 0.5000 0.5000
H 0.5000 0.0000 0.5000
H 0.5000 0.5000 0.0000

Output
Space-group type   Pm-3m
Raw total energy   -4.569 eV per atom
D(E_F)   0.2349 states/eV/atom
Energy relative to the lowest polymorph listed for this composition   55 meV/atom


- Look up the raw total energy of the first one.
  -5.275 eV per atom